[1]
# ZnNiMoPb

A relaxed structure of ZnNiMoPb (PBE, the Open Quantum Materials Database).

Cell and atoms, written as POSCAR:
```
ZnNiMoPb
1.0
0.000 3.203 3.203
3.203 0.000 3.203
3.203 3.203 0.000
Ni Zn Pb Mo
1 1 1 1
Direct
0.750 0.750 0.750
0.500 0.500 0.500
0.000 0.000 0.000
0.250 0.250 0.250
```

**Raw total energy**: -19.29 eV per formula unit
**Calculated volume**: 66 Å³/f.u.

=====

[2]
# NiMo2Pd

A relaxed structure of NiMo2Pd (PBE, the Open Quantum Materials Database).

Cell and atoms, written as POSCAR:
```
NiMo2Pd
1.0
2.179 1.258 3.558
-2.179 1.258 3.558
0.000 -2.516 3.558
Mo Pd Ni
2 1 1
Direct
0.750 0.750 0.750
0.000 0.000 0.000
0.500 0.500 0.500
0.250 0.250 0.250
```

**Raw total energy**: -31.61 eV per formula unit
**ΔE_f**: 0.2072 eV/atom
**Calculated volume**: 59 Å³/f.u.

=====

[3]
# NiSbMoPd

A relaxed structure of NiSbMoPd (PBE, the Open Quantum Materials Database).

Cell and atoms, written as POSCAR:
```
NiSbMoPd
1.0
0.000 3.165 3.165
3.165 0.000 3.165
3.165 3.165 0.000
Ni Pd Sb Mo
1 1 1 1
Direct
0.750 0.750 0.750
0.500 0.500 0.500
0.000 0.000 0.000
0.250 0.250 0.250
```

**Raw total energy**: -25.41 eV per formula unit
**Calculated volume**: 63 Å³/f.u.

=====

[4]
# SiNiMoPd

A relaxed structure of SiNiMoPd (PBE, the Open Quantum Materials Database).

Cell and atoms, written as POSCAR:
```
SiNiMoPd
1.0
0.000 3.014 3.014
3.014 0.000 3.014
3.014 3.014 0.000
Ni Si Pd Mo
1 1 1 1
Direct
0.750 0.750 0.750
0.000 0.000 0.000
0.500 0.500 0.500
0.250 0.250 0.250
```

**Raw total energy**: -27.45 eV per formula unit
**Calculated volume**: 55 Å³/f.u.

=====

[5]
# NiSnMoPd

A relaxed structure of NiSnMoPd (PBE, the Open Quantum Materials Database).

Cell and atoms, written as POSCAR:
```
NiSnMoPd
1.0
0.000 3.163 3.163
3.163 0.000 3.163
3.163 3.163 0.000
Ni Sn Mo Pd
1 1 1 1
Direct
0.750 0.750 0.750
0.000 0.000 0.000
0.500 0.500 0.500
0.250 0.250 0.250
```

**Raw total energy**: -25.22 eV per formula unit
**Calculated volume**: 63 Å³/f.u.

=====

[6]
# ZnNiMoPd

A relaxed structure of ZnNiMoPd (PBE, the Open Quantum Materials Database).

Cell and atoms, written as POSCAR:
```
ZnNiMoPd
1.0
-3.392 -1.366 -2.271
-3.936 1.491 0.902
-1.971 2.669 -2.742
Mo Pd Ni Zn
1 1 1 1
Direct
0.500 0.500 0.500
0.250 0.250 0.250
0.750 0.750 0.750
0.000 0.000 0.000
```

**Raw total energy**: -22.61 eV per formula unit
**ΔE_f**: 0.0603 eV/atom
**Calculated volume**: 56 Å³/f.u.

=====

What did the third record say?
# NiSbMoPd

A relaxed structure of NiSbMoPd (PBE, the Open Quantum Materials Database).

Cell and atoms, written as POSCAR:
```
NiSbMoPd
1.0
0.000 3.165 3.165
3.165 0.000 3.165
3.165 3.165 0.000
Ni Pd Sb Mo
1 1 1 1
Direct
0.750 0.750 0.750
0.500 0.500 0.500
0.000 0.000 0.000
0.250 0.250 0.250
```

**Raw total energy**: -25.41 eV per formula unit
**Calculated volume**: 63 Å³/f.u.

=====

> calculated volume of number 6 (ZnNiMoPd)?

56 Å³/f.u.

=====

Please write out number 6 again, unchanged.
# ZnNiMoPd

A relaxed structure of ZnNiMoPd (PBE, the Open Quantum Materials Database).

Cell and atoms, written as POSCAR:
```
ZnNiMoPd
1.0
-3.392 -1.366 -2.271
-3.936 1.491 0.902
-1.971 2.669 -2.742
Mo Pd Ni Zn
1 1 1 1
Direct
0.500 0.500 0.500
0.250 0.250 0.250
0.750 0.750 0.750
0.000 0.000 0.000
```

**Raw total energy**: -22.61 eV per formula unit
**ΔE_f**: 0.0603 eV/atom
**Calculated volume**: 56 Å³/f.u.

=====

> What is the raw total energy in the fifth record?

-25.22 eV per formula unit